No. 1
DFT (PBE) results for a geometry-optimized Cu3Ru structure.

The structure belongs to space group Pmmm (No. 47); the cell edges are 2.5333, 3.7353 and 5.3303 Å and the angles 90.00°, 90.00° and 90.00°. The asymmetric unit holds Cu at (0.0000, 0.0000, 0.0000), Cu at (0.5000, 0.5000, 0.2434) and Ru at (0.0000, 0.0000, 0.5000).

The value obtained for the total magnetization is 0.001 μB/f.u. Its formation energy is 0.218 eV/atom.

=====

No. 2
DFT (PBE) results for a geometry-optimized Pr2SmAl structure.

The structure belongs to space group Amm2 (No. 38); the cell edges are 5.4043, 7.1199 and 12.3619 Å and the angles 90.00°, 90.00° and 90.00°. The asymmetric unit holds Pr at (0.0000, 0.0000, 0.0000), Pr at (0.0000, 0.2318, 0.2331), Pr at (0.5000, 0.0000, 0.6432), Sm at (0.5000, 0.2323, 0.4099), Al at (0.0000, 0.0000, 0.4853) and Al at (0.5000, 0.0000, 0.1553).

The calculation puts the energy above the lowest structure with this stoichiometry at 0.0000 eV/atom. The value obtained for the total magnetization is 0.000 μB/f.u. Its formation energy is -0.174 eV/atom.

=====

Calculated values (states/eV/atom) of D(E_F) for the records, taken in order: 1.004 0.973.